Cs6Si2NiO8: PBEsol geometry, meta-GGA SCAN.

abc: 6.7952 7.0667 7.9409
angles: 86.41 87.44 69.50
With the nearest neighbours (Å) after each atom.
Fractional coordinates of all 17 atoms:
Cs  0.7982  0.2977  0.9823  6 O 2.97-3.17
Cs  0.7259  0.2081  0.4664  5 O 3.02-3.32, 1 Ni 3.26
Cs  0.6554  0.8315  0.1677  5 O 2.85-3.10
Cs  0.2741  0.7919  0.5336  5 O 3.02-3.32, 1 Ni 3.26
Cs  0.2018  0.7023  0.0177  6 O 2.97-3.17
Cs  0.3446  0.1685  0.8323  5 O 2.85-3.10
O  0.5799  0.7061  0.8176  1 Si 1.64
O  0.4201  0.2939  0.1824  1 Si 1.64
O  0.0030  0.5336  0.7350  1 Si 1.68
O  0.9970  0.4664  0.2650  1 Si 1.68
O  0.1764  0.0616  0.2091  1 Si 1.64
O  0.2280  0.2517  0.4882  1 Si 1.68
O  0.7720  0.7483  0.5118  1 Si 1.68
O  0.8236  0.9384  0.7909  1 Si 1.64
Si  0.2158  0.2591  0.2768  4 O 1.64-1.68
Si  0.7842  0.7409  0.7232  4 O 1.64-1.68
Ni  0.0000  0.5000  0.5000  4 O 1.90

Computed properties:
Electronic total energy   -20.609 eV/atom
Density of states at the Fermi level   0.0 states/eV/f.u.
Space-group type   No. 2


CaZrTl: PBEsol geometry, meta-GGA SCAN.

abc: 4.9802 4.9802 4.9802
angles: 60.00 60.00 60.00
With the nearest neighbours (Å) after each atom.
Fractional coordinates of all 3 atoms:
Zr  0.2500  0.2500  0.2500  4 Tl 3.05, 4 Ca 3.05
Tl  0.5000  0.5000  0.5000  4 Zr 3.05
Ca  0.0000  0.0000  0.0000  4 Zr 3.05

Computed properties:
Electronic total energy   -37.071 eV/atom
Density of states at the Fermi level   3.1 states/eV/f.u.
E_form   0.503 eV/atom
Space-group type   No. 216


Li2Mg: PBEsol geometry, meta-GGA SCAN.

abc: 5.4774 5.4774 5.4774
angles: 60.00 60.00 60.00
With the nearest neighbours (Å) after each atom.
Fractional coordinates of all 6 atoms:
Mg  0.5000  0.5000  0.5000  12 Li 3.21, 4 Mg 3.35
Mg  0.7500  0.7500  0.7500  12 Li 3.21, 4 Mg 3.35
Li  0.1250  0.1250  0.6250  6 Li 2.74
Li  0.6250  0.1250  0.1250  6 Li 2.74
Li  0.1250  0.1250  0.1250  6 Li 2.74
Li  0.1250  0.6250  0.1250  6 Li 2.74

Computed properties:
Electronic total energy   -3.262 eV/atom
Density of states at the Fermi level   1.2 states/eV/f.u.
E_form   -0.010 eV/atom
Space-group type   No. 227


Mn2AsPt: PBEsol geometry, meta-GGA SCAN.

abc: 4.1438 4.1438 4.1438
angles: 60.00 60.00 60.00
With the nearest neighbours (Å) after each atom.
Fractional coordinates of all 4 atoms:
As  0.0000  0.0000  0.0000  8 Mn 2.54
Mn  0.2500  0.2500  0.2500  4 As 2.54, 4 Pt 2.54
Mn  0.7500  0.7500  0.7500  4 As 2.54, 4 Pt 2.54
Pt  0.5000  0.5000  0.5000  8 Mn 2.54

Computed properties:
Electronic total energy   -31.558 eV/atom
Density of states at the Fermi level   3.5 states/eV/f.u.
E_form   0.166 eV/atom
Space-group type   No. 225